## Pr2SmBr (PBE-GGA)

Data for a relaxed structure of Pr2SmBr.

POSCAR file:
```
Pr2SmBr
1.0
1.887 1.090 10.684
-1.887 1.090 10.684
0.000 -2.179 10.684
Pr Sm Br
2 1 1
direct
0.000 0.000 0.000 Pr
0.183 0.183 0.183 Pr
0.425 0.425 0.425 Sm
0.591 0.591 0.591 Br
```

Summary:
E_form (uncorrected), eV/atom: -0.553
Energy above the lowest structure with this stoichiometry, kcal/mol of atoms: 0.24
Total magnetization, μB/f.u.: 0.97

---

## KCuAsCl6 (PBE-GGA)

Data for a relaxed structure of KCuAsCl6.

POSCAR file:
```
KCuAsCl6
1.0
6.532 0.000 0.000
-2.763 5.940 0.000
-0.493 -0.736 6.744
K Cu As Cl
1 1 1 6
direct
0.000 0.000 0.000 K
0.305 0.693 0.499 Cu
0.651 0.347 0.498 As
0.338 0.441 0.271 Cl
0.349 0.033 0.666 Cl
0.560 0.660 0.727 Cl
0.629 0.062 0.264 Cl
0.939 0.366 0.730 Cl
0.963 0.649 0.331 Cl
```

Summary:
E_form (uncorrected), eV/atom: -0.889
Total magnetization, μB/f.u.: 0.97